The following is a DFT calculation (PBE) of Fe2MoAs after structural relaxation.

Cell lengths 2.7003, 2.7003, 8.0512 Å; angles 90.00, 90.00, 106.58 degrees
Positions (direct):
Fe  0.0000  0.0000  0.2441
Fe  0.0000  0.0000  0.7559
Mo  0.5000  0.5000  0.5000
As  0.5000  0.5000  0.0000

Results
For the uncorrected energy, the calculation gives -7.887 eV per atom. The space group is Cmmm. As for the energy of formation: 214 meV per atom.